(1)
This record from the Alexandria database describes a relaxed Pu2SbPt6 crystal. The functional is GGA-PBE.

```
Pu2SbPt6
1.0
6.1207 -0.0318 -0.0184
0.0256 5.7355 0.0054
0.0256 2.8622 4.9702
Pu Sb Pt
2 1 6
Direct
0.8405 0.6667 0.6667
0.1595 0.3333 0.3333
0.0000 0.0000 0.0000
0.3210 0.3524 0.8238
0.3205 0.8239 0.8239
0.3210 0.8238 0.3524
0.6790 0.6476 0.1762
0.6795 0.1761 0.1761
0.6790 0.1762 0.6476
```

Results
DFT total energy ... -74.8 eV per cell
Space-group type ... P-3m1
E_form (uncorrected) ... -0.644 eV/atom
D(E_F) ... 24.5 states/eV/f.u.

(2)
This record from the Alexandria database describes a relaxed Pu8Sb5Pt crystal. The functional is GGA-PBE.

```
Pu8Sb5Pt
1.0
7.5040 0.0000 -2.5774
-3.7454 6.4615 -2.6784
-0.0132 0.0000 7.9343
Pu Sb Pt
8 5 1
Direct
0.1307 0.7290 0.0119
0.9881 0.1188 0.7171
0.7928 0.2581 0.3880
0.6120 0.4048 0.8701
0.4653 0.5952 0.2072
0.5983 0.8812 0.8693
0.2829 0.2710 0.4017
0.1299 0.7419 0.5347
0.9892 0.3640 0.1185
0.8815 0.8707 0.2456
0.7544 0.6360 0.6252
0.5000 0.0000 0.5000
0.3748 0.1293 0.0108
0.2500 0.5000 0.7500
```

Results
DFT total energy ... -149.0 eV per cell
Space-group type ... I-4
E_form (uncorrected) ... -0.549 eV/atom
D(E_F) ... 74.4 states/eV/f.u.

(3)
This record from the Alexandria database describes a relaxed Pu3Sb2Pt crystal. The functional is GGA-PBE.

```
Pu3Sb2Pt
1.0
-2.1212 3.8045 -0.8780
-3.5506 0.4574 10.5607
10.4477 6.5702 3.2280
Pu Sb Pt
12 8 4
Direct
0.2500 0.4002 0.0474
0.7500 0.5998 0.9526
0.7500 0.9002 0.4526
0.2500 0.0998 0.5474
0.2500 0.7202 0.2482
0.7500 0.2798 0.7518
0.7500 0.2202 0.2518
0.2500 0.7798 0.7482
0.2500 0.4546 0.3805
0.7500 0.5454 0.6195
0.7500 0.9546 0.1195
0.2500 0.0454 0.8805
0.2500 0.7126 0.5118
0.7500 0.2874 0.4882
0.7500 0.2126 0.9882
0.2500 0.7874 0.0118
0.2500 0.0075 0.3026
0.7500 0.9925 0.6974
0.7500 0.5075 0.1974
0.2500 0.4925 0.8026
0.2500 0.1470 0.1148
0.7500 0.8530 0.8852
0.7500 0.6470 0.3852
0.2500 0.3530 0.6148
```

Results
DFT total energy ... -243.6 eV per cell
Space-group type ... Pnma
E_form (uncorrected) ... -0.604 eV/atom
D(E_F) ... 33.4 states/eV/f.u.

Copy entry 2 word for word.
This record from the Alexandria database describes a relaxed Pu8Sb5Pt crystal. The functional is GGA-PBE.

```
Pu8Sb5Pt
1.0
7.5040 0.0000 -2.5774
-3.7454 6.4615 -2.6784
-0.0132 0.0000 7.9343
Pu Sb Pt
8 5 1
Direct
0.1307 0.7290 0.0119
0.9881 0.1188 0.7171
0.7928 0.2581 0.3880
0.6120 0.4048 0.8701
0.4653 0.5952 0.2072
0.5983 0.8812 0.8693
0.2829 0.2710 0.4017
0.1299 0.7419 0.5347
0.9892 0.3640 0.1185
0.8815 0.8707 0.2456
0.7544 0.6360 0.6252
0.5000 0.0000 0.5000
0.3748 0.1293 0.0108
0.2500 0.5000 0.7500
```

Results
DFT total energy ... -149.0 eV per cell
Space-group type ... I-4
E_form (uncorrected) ... -0.549 eV/atom
D(E_F) ... 74.4 states/eV/f.u.

What did the first record say?
This record from the Alexandria database describes a relaxed Pu2SbPt6 crystal. The functional is GGA-PBE.

```
Pu2SbPt6
1.0
6.1207 -0.0318 -0.0184
0.0256 5.7355 0.0054
0.0256 2.8622 4.9702
Pu Sb Pt
2 1 6
Direct
0.8405 0.6667 0.6667
0.1595 0.3333 0.3333
0.0000 0.0000 0.0000
0.3210 0.3524 0.8238
0.3205 0.8239 0.8239
0.3210 0.8238 0.3524
0.6790 0.6476 0.1762
0.6795 0.1761 0.1761
0.6790 0.1762 0.6476
```

Results
DFT total energy ... -74.8 eV per cell
Space-group type ... P-3m1
E_form (uncorrected) ... -0.644 eV/atom
D(E_F) ... 24.5 states/eV/f.u.

Q: Look up the DFT total energy of the second one.
A: -149.0 eV per cell